Entry 1:
DFT (PBE-GGA) results for a relaxed structure of Zn2CoIr.

Values from the calculation:
Fermi-level density of states (states/eV/atom): 1.49
Uncorrected energy (eV per atom): -4.671
Formation enthalpy at 0 K (eV/atom): -0.0427

abc: 3.782 3.782 7.463
angles: 90.00 90.00 90.00
Space group I4/mmm (No. 139)
Unique sites:
Zn 0.000 0.500 0.250 [4 per cell]
Co 0.000 0.000 0.000 [2 per cell]
Ir 0.000 0.000 0.500 [2 per cell]

Entry 2:
DFT (PBE-GGA) results for a relaxed structure of CaCoCu4.

Values from the calculation:
Fermi-level density of states (states/eV/atom): 1.14
Uncorrected energy (eV per atom): -4.132
Formation enthalpy at 0 K (eV/atom): 0.1165

abc: 7.038 7.038 7.038
angles: 90.00 90.00 90.00
Space group F-43m (No. 216)
Unique sites:
Ca 0.000 0.000 0.000 [4 per cell]
Co 0.250 0.250 0.750 [4 per cell]
Cu 0.124 0.124 0.376 [16 per cell]

Entry 3:
DFT (PBE-GGA) results for a relaxed structure of SrLiNdBr6.

Values from the calculation:
Fermi-level density of states (states/eV/atom): 0.00
Formation energy without anion corrections (eV/f.u.): -16.76
Uncorrected energy (eV per atom): -3.906

abc: 7.2533 7.2533 13.4802
angles: 90.00 90.00 120.00
Space group P-31c (No. 163)
Unique sites:
Sr 0.0000 0.0000 0.0000 [2 per cell]
Li 0.3333 0.6667 0.2500 [2 per cell]
Nd 0.3333 0.6667 0.7500 [2 per cell]
Br 0.0119 0.3578 0.1304 [12 per cell]